<i>
Density functional theory data (GGA-PBE) for a geometry-optimized SrYAs2Br structure.

Total magnetization, μB/cell: 0.00
Space-group type: No. 123
DOS at the Fermi energy, states/eV/atom: 0.39

POSCAR file:
```
SrYAs2Br
1.0
-0.341 -5.273 -1.166
1.777 -1.213 4.964
-5.294 -0.073 1.878
Sr Y Br As
1 1 1 2
Direct
0.500 0.500 0.500 Sr
0.000 0.000 0.000 Y
0.000 0.000 0.500 Br
0.500 0.000 0.000 As
0.000 0.500 0.000 As
```

=====

<ii>
Density functional theory data (GGA-PBE) for a geometry-optimized SrYAs2Br structure.

Total magnetization, μB/cell: 0.00
Space-group type: No. 123
DOS at the Fermi energy, states/eV/atom: 0.34

POSCAR file:
```
SrYAs2Br
1.0
-4.355 -2.338 -2.506
2.006 -5.024 1.202
-2.748 0.037 4.741
Y As Br Sr
1 2 1 1
Direct
0.500 0.500 0.500 Y
0.500 0.000 0.000 As
0.000 0.500 0.000 As
0.000 0.000 0.500 Br
0.000 0.000 0.000 Sr
```

=====

Which structure is the most stable? The one labeled <i>.

=====

<i>
Density functional theory data (GGA-PBE) for a geometry-optimized SrZrAsBr2 structure.

Total magnetization, μB/cell: 0.00
Space-group type: No. 123
DOS at the Fermi energy, states/eV/atom: 0.45

POSCAR file:
```
SrZrAsBr2
1.0
-3.783 2.302 2.927
1.765 -2.565 4.299
3.311 4.077 1.073
As Br Zr Sr
1 2 1 1
Direct
0.000 0.000 0.500 As
0.000 0.500 0.000 Br
0.500 0.000 0.000 Br
0.000 0.000 0.000 Zr
0.500 0.500 0.500 Sr
```

=====

<ii>
Density functional theory data (GGA-PBE) for a geometry-optimized SrZrAsBr2 structure.

Total magnetization, μB/cell: 1.01
Space-group type: No. 123
DOS at the Fermi energy, states/eV/atom: 0.81

POSCAR file:
```
SrZrAsBr2
1.0
5.528 0.000 0.000
0.000 5.528 0.000
0.000 0.000 6.163
Br Zr As Sr
2 1 1 1
Direct
0.000 0.500 0.000 Br
0.500 0.000 0.000 Br
0.500 0.500 0.500 Zr
0.000 0.000 0.500 As
0.000 0.000 0.000 Sr
```

=====

Which structure is the most stable? The one labeled <i>.

=====

<i>
Density functional theory data (GGA-PBE) for a geometry-optimized TaAsBr2 structure.

Total magnetization, μB/cell: 0.00
Space-group type: No. 99
DOS at the Fermi energy, states/eV/atom: 0.70

POSCAR file:
```
TaAsBr2
1.0
-0.087 3.449 0.468
-2.645 -0.370 2.233
5.362 -0.710 6.234
Br As Ta
2 1 1
Direct
0.000 0.000 0.905 Br
0.500 0.500 0.329 Br
0.500 0.500 0.696 As
0.000 0.000 0.570 Ta
```

=====

<ii>
Density functional theory data (GGA-PBE) for a geometry-optimized TaAsBr2 structure.

Total magnetization, μB/cell: 0.00
Space-group type: No. 71
DOS at the Fermi energy, states/eV/atom: 0.72

POSCAR file:
```
TaAsBr2
1.0
8.392 0.014 -0.019
7.762 3.190 -0.019
1.101 0.218 4.137
As Ta Br
1 1 2
Direct
0.250 0.250 0.250 As
0.750 0.750 0.750 Ta
0.107 0.107 0.893 Br
0.393 0.393 0.607 Br
```

=====

<iii>
Density functional theory data (GGA-PBE) for a geometry-optimized TaAsBr2 structure.

Total magnetization, μB/cell: 0.00
Space-group type: No. 6
DOS at the Fermi energy, states/eV/atom: 0.48

POSCAR file:
```
TaAsBr2
1.0
-0.960 1.037 -3.137
0.800 -3.387 -1.365
-7.198 -4.040 0.866
Br As Ta
2 1 1
Direct
0.500 0.393 0.327 Br
0.000 0.110 0.914 Br
0.500 0.727 0.674 As
0.000 0.270 0.584 Ta
```

=====

Which structure is the most stable? The one labeled <iii>.

=====

<i>
Density functional theory data (GGA-PBE) for a geometry-optimized TaAsBr structure.

Total magnetization, μB/cell: 1.06
Space-group type: No. 216
DOS at the Fermi energy, states/eV/atom: 1.13

POSCAR file:
```
TaAsBr
1.0
-1.376 -0.727 -4.291
2.479 -2.644 -2.775
-1.559 -4.110 -1.231
Ta Br As
1 1 1
Direct
0.750 0.750 0.750 Ta
0.500 0.500 0.500 Br
0.000 0.000 0.000 As
```

=====

<ii>
Density functional theory data (GGA-PBE) for a geometry-optimized TaAsBr structure.

Total magnetization, μB/cell: 0.93
Space-group type: No. 216
DOS at the Fermi energy, states/eV/atom: 0.75

POSCAR file:
```
TaAsBr
1.0
-1.464 3.390 2.723
-0.127 -0.602 4.546
2.973 2.225 2.693
Ta Br As
1 1 1
Direct
0.500 0.500 0.500 Ta
0.000 0.000 0.000 Br
0.750 0.750 0.750 As
```

=====

Which structure is the most stable? The one labeled <i>.

=====

<i>
Density functional theory data (GGA-PBE) for a geometry-optimized TaAs2Br structure.

Total magnetization, μB/cell: 0.00
Space-group type: No. 47
DOS at the Fermi energy, states/eV/atom: 0.75

POSCAR file:
```
TaAs2Br
1.0
-3.007 1.140 -0.499
0.659 -0.241 -4.522
-1.787 -4.718 -0.009
Ta Br As
1 1 2
Direct
0.000 0.500 0.500 Ta
0.500 0.000 0.500 Br
0.500 0.500 0.000 As
0.000 0.000 0.000 As
```

=====

<ii>
Density functional theory data (GGA-PBE) for a geometry-optimized TaAs2Br structure.

Total magnetization, μB/cell: 0.00
Space-group type: No. 216
DOS at the Fermi energy, states/eV/atom: 0.62

POSCAR file:
```
TaAs2Br
1.0
-3.077 1.972 -2.985
2.249 -1.995 -3.637
-1.553 -2.672 3.566
As Br Ta
2 1 1
Direct
0.250 0.750 0.500 As
0.000 0.000 0.000 As
0.500 0.500 0.000 Br
0.750 0.250 0.500 Ta
```

=====

Which structure is the most stable? The one labeled <ii>.

=====

<i>
Density functional theory data (GGA-PBE) for a geometry-optimized TaTeAs2Br structure.

Total magnetization, μB/cell: 2.07
Space-group type: No. 123
DOS at the Fermi energy, states/eV/atom: 1.38

POSCAR file:
```
TaTeAs2Br
1.0
-0.494 -2.532 -4.648
1.979 -4.418 2.197
-4.807 -1.494 1.325
Te Ta As Br
1 1 2 1
Direct
0.000 0.000 0.000 Te
0.500 0.500 0.500 Ta
0.000 0.500 0.000 As
0.500 0.000 0.000 As
0.000 0.000 0.500 Br
```

=====

<ii>
Density functional theory data (GGA-PBE) for a geometry-optimized TaTeAs2Br structure.

Total magnetization, μB/cell: 0.00
Space-group type: No. 123
DOS at the Fermi energy, states/eV/atom: 0.78

POSCAR file:
```
TaTeAs2Br
1.0
5.142 0.000 0.000
0.000 5.142 0.000
0.000 0.000 4.933
As Te Br Ta
2 1 1 1
Direct
0.500 0.000 0.000 As
0.000 0.500 0.000 As
0.500 0.500 0.500 Te
0.000 0.000 0.500 Br
0.000 0.000 0.000 Ta
```

=====

Which structure is the most stable? The one labeled <ii>.

=====

<i>
Density functional theory data (GGA-PBE) for a geometry-optimized TaTiAsBr2 structure.

Total magnetization, μB/cell: 3.79
Space-group type: No. 123
DOS at the Fermi energy, states/eV/atom: 1.27

POSCAR file:
```
TaTiAsBr2
1.0
-3.173 -1.851 -3.192
0.984 -4.482 1.621
-3.842 0.445 3.562
Br Ta As Ti
2 1 1 1
Direct
0.000 0.500 0.000 Br
0.500 0.000 0.000 Br
0.500 0.500 0.500 Ta
0.000 0.000 0.500 As
0.000 0.000 0.000 Ti
```

=====

<ii>
Density functional theory data (GGA-PBE) for a geometry-optimized TaTiAsBr2 structure.

Total magnetization, μB/cell: 0.14
Space-group type: No. 123
DOS at the Fermi energy, states/eV/atom: 1.47

POSCAR file:
```
TaTiAsBr2
1.0
5.071 0.000 0.000
0.000 5.071 0.000
0.000 0.000 5.133
Ti As Br Ta
1 1 2 1
Direct
0.500 0.500 0.500 Ti
0.000 0.000 0.500 As
0.000 0.500 0.000 Br
0.500 0.000 0.000 Br
0.000 0.000 0.000 Ta
```

=====

Which structure is the most stable? The one labeled <ii>.

=====

<i>
Density functional theory data (GGA-PBE) for a geometry-optimized TaTiAs2Br structure.

Total magnetization, μB/cell: 2.22
Space-group type: No. 123
DOS at the Fermi energy, states/eV/atom: 1.09

POSCAR file:
```
TaTiAs2Br
1.0
5.004 0.000 0.000
0.000 5.004 0.000
0.000 0.000 5.109
As Br Ta Ti
2 1 1 1
Direct
0.000 0.500 0.000 As
0.500 0.000 0.000 As
0.000 0.000 0.500 Br
0.000 0.000 0.000 Ta
0.500 0.500 0.500 Ti
```

=====

<ii>
Density functional theory data (GGA-PBE) for a geometry-optimized TaTiAs2Br structure.

Total magnetization, μB/cell: 2.50
Space-group type: No. 123
DOS at the Fermi energy, states/eV/atom: 0.75

POSCAR file:
```
TaTiAs2Br
1.0
-2.981 3.786 0.865
-3.869 -2.800 -1.078
-0.336 -1.326 4.647
Ti As Ta Br
1 2 1 1
Direct
0.000 0.000 0.000 Ti
0.000 0.500 0.000 As
0.500 0.000 0.000 As
0.500 0.500 0.500 Ta
0.000 0.000 0.500 Br
```

=====

Which structure is the most stable? The one labeled <i>.